# 1
The following is a DFT calculation (PBE) of a relaxed CoCuBr crystal.

POSCAR file:
```
CoCuBr
1.0
3.2109 0.0000 0.0000
0.0000 3.0744 0.0000
0.0000 0.0000 5.3390
Cu Br Co
1 1 1
direct
0.5000 0.5000 0.0089
0.0000 0.5000 0.4177
0.0000 0.0000 0.7718
```

Summary:
The crystal system is orthorhombic. For the total energy, the calculation gives -3.761 eV per atom. As for the symmetry: No. 25. The calculation puts the uncorrected formation energy at 0.530 eV/atom. The value obtained for the relative energy among the computed polymorphs is 0.072 eV/atom.

***

# 2
The following is a DFT calculation (PBE) of a relaxed CsTeS2Cl crystal.

POSCAR file:
```
CsTeS2Cl
1.0
-3.1516 -0.6125 4.4317
1.1842 -5.3417 0.1038
4.7503 1.1218 3.5332
S Cl Cs Te
2 1 1 1
direct
0.0000 0.5000 0.0000
0.5000 0.0000 0.0000
0.0000 0.0000 0.5000
0.0000 0.0000 0.0000
0.5000 0.5000 0.5000
```

Summary:
The crystal system is tetragonal. For the total energy, the calculation gives -1.841 eV per atom. As for the symmetry: No. 123. The calculation puts the uncorrected formation energy at 0.979 eV/atom. The value obtained for the relative energy among the computed polymorphs is 1.500 eV/atom.

***

# 3
The following is a DFT calculation (PBE) of a relaxed MnAlBiBr2 crystal.

POSCAR file:
```
MnAlBiBr2
1.0
5.0139 0.0000 0.0000
0.0000 5.6146 0.0000
0.0000 0.0000 5.0139
Bi Br Mn Al
1 2 1 1
direct
0.5000 0.5000 0.5000
0.0000 0.0000 0.5000
0.5000 0.0000 0.0000
0.0000 0.5000 0.0000
0.0000 0.0000 0.0000
```

Summary:
The crystal system is tetragonal. For the total energy, the calculation gives -3.661 eV per atom. As for the symmetry: No. 123. The calculation puts the uncorrected formation energy at 0.367 eV/atom.